Below is a relaxed structure of Li2SiSb, with properties calculated at the GGA-PBE level.

Unit cell a=5.393 b=5.393 c=4.822 alpha=90.52 beta=90.52 gamma=32.55
Fractional positions:
Li1 0.000 0.000 0.000
Li2 0.246 0.246 0.726
Si1 0.506 0.506 0.507
Sb1 0.736 0.736 0.232

Computed properties:
- Energy above the most stable polymorph in this dataset: 105.1 meV per atom
- N(E_F): 1.62 states/eV/f.u.
- Formation energy from raw total energies: -0.12 eV/atom